# 1
# FeGeB2Pd

FeGeB2Pd after structural relaxation (GGA-PBEsol, the Alexandria database).

Cell lengths 3.903, 3.903, 5.216 Å; angles 90.00, 90.00, 90.00 degrees
Space group P4/mmm (No. 123)
Asymmetric unit:
Fe (0.000, 0.000, 0.000) x1
Ge (0.500, 0.500, 0.000) x1
B (0.000, 0.500, 0.500) x2
Pd (0.500, 0.500, 0.500) x1

Calculated values
Total magnetic moment (μB per formula unit): 3.2
ΔH_f (0 K) (eV/atom): 1.2985

***

# 2
# Ca2TaW

Ca2TaW after structural relaxation (GGA-PBEsol, the Alexandria database).

Cell lengths 3.727, 4.221, 5.275 Å; angles 90.00, 90.00, 90.00 degrees
Space group Pmmm (No. 47)
Asymmetric unit:
Ca (0.000, 0.000, 0.000) x1
Ca (0.500, 0.500, 0.000) x1
Ta (0.000, 0.500, 0.500) x1
W (0.500, 0.000, 0.500) x1

Calculated values
Total magnetic moment (μB per formula unit): 0.0
ΔH_f (0 K) (eV/atom): 0.8906
Polymorph energy (0 for the lowest one) (kJ per mole of atoms): 26.0

***

# 3
# Mo2PAu

Mo2PAu after structural relaxation (GGA-PBEsol, the Alexandria database).

Cell lengths 6.250, 6.250, 6.250 Å; angles 90.00, 90.00, 90.00 degrees
Space group F-43m (No. 216)
Asymmetric unit:
Mo (0.000, 0.000, 0.000) x4
Mo (0.250, 0.250, 0.250) x4
P (0.000, 0.000, 0.500) x4
Au (0.250, 0.250, 0.750) x4

Calculated values
Total magnetic moment (μB per formula unit): 0.0
ΔH_f (0 K) (eV/atom): 0.5332

***

# 4
# LaSc2Ir

LaSc2Ir after structural relaxation (GGA-PBEsol, the Alexandria database).

Cell lengths 4.3208, 4.3208, 18.2178 Å; angles 90.00, 90.00, 120.00 degrees
Space group R-3m (No. 166, hexagonal axes)
Asymmetric unit:
La (0.0000, 0.0000, 0.0000) x3
Sc (0.0000, 0.0000, 0.2130) x6
Ir (0.0000, 0.0000, 0.5000) x3

Calculated values
Total magnetic moment (μB per formula unit): 0.0
ΔH_f (0 K) (eV/atom): -0.3116
Polymorph energy (0 for the lowest one) (kJ per mole of atoms): 8.1